Compound: CrFeN2O
Source: Alexandria via LeMat-Bulk
Functional: PBE+U
Structure: relaxed

Properties
space-group type = No. 123
electronic total energy = -31.5 eV/cell
crystal system = tetragonal

Structure (extended XYZ):
```
5
Lattice="-3.189 -2.082 -0.383 1.704 -2.112 -2.699 1.229 -2.366 2.627" Properties=species:S:1:pos:R:3 pbc="T T T"
Cr -0.128 -3.280 -0.228
N 0.852 -1.056 -1.350
N -1.594 -1.041 -0.192
O 0.615 -1.183 1.314
Fe 0.000 0.000 0.000
```